Material: Cs12Au4I
Method: DFT, PBE
State: relaxed

a b c (Å): 11.9304 11.9304 11.9304
angles (deg): 110.16 109.40 108.86
Fractional positions:
Cs1 0.0196 0.2053 0.8144
Cs2 0.1860 0.3068 0.4928
Cs3 0.1860 0.6932 0.8792
Cs4 0.3236 0.0170 0.6934
Cs5 0.3236 0.6302 0.3066
Cs6 0.3909 0.2053 0.1856
Cs7 0.6091 0.7947 0.8144
Cs8 0.6764 0.3698 0.6934
Cs9 0.6764 0.9830 0.3066
Cs10 0.8140 0.3068 0.1208
Cs11 0.8140 0.6932 0.5072
Cs12 0.9804 0.7947 0.1856
Au1 0.0000 0.0000 0.5000
Au2 0.0000 0.5000 0.0000
Au3 0.5000 0.0000 0.0000
Au4 0.5000 0.5000 0.5000
I1 0.0000 0.0000 0.0000

## Properties
DOS at the Fermi energy = 0.79 states/eV per atom
Energy = -30.1 eV per formula unit
Formation energy without anion corrections = -0.307 eV per atom
Size of the total moment = 0.00 μB per cell

Material: Cs6Au2I3
Method: DFT, PBE
State: relaxed

a b c (Å): 26.9737 26.9737 26.9737
angles (deg): 11.52 11.52 11.52
Fractional positions:
Cs1 0.0865 0.0865 0.0865
Cs2 0.1962 0.1962 0.1962
Cs3 0.3622 0.3622 0.3622
Cs4 0.6378 0.6378 0.6378
Cs5 0.8038 0.8038 0.8038
Cs6 0.9135 0.9135 0.9135
Au1 0.4464 0.4464 0.4464
Au2 0.5536 0.5536 0.5536
I1 0.0000 0.0000 0.0000
I2 0.2756 0.2756 0.2756
I3 0.7244 0.7244 0.7244

## Properties
DOS at the Fermi energy = 0.24 states/eV per atom
Energy = -26.9 eV per formula unit
Formation energy without anion corrections = -0.961 eV per atom
Size of the total moment = 0.00 μB per cell